DFT (PBEsol) results for CsHgIN2 after structural relaxation.

Formation energy from raw total energies = 1230 meV per atom
Calculated volume = 29.04 Å³ per atom
Calculated total energy = -2.84 eV/atom

Cell and atoms, written as POSCAR:
```
CsHgIN2
1.0
4.8690 0.0000 0.0000
0.0000 4.8690 0.0000
0.0000 0.0000 6.1253
Cs Hg I N
1 1 1 2
Direct
0.0000 0.0000 0.0000 Cs
0.5000 0.5000 0.5000 Hg
0.5000 0.5000 0.0000 I
0.0000 0.5000 0.5000 N
0.5000 0.0000 0.5000 N
```